VASP calculation (PBE) on a relaxed ScGaP2 crystal.

Geometry as POSCAR:
```
ScGaP2
1.0
5.873 0.000 0.000
0.000 5.873 0.000
2.936 2.936 5.445
Sc P Ga
2 4 2
Direct
0.500 0.500 0.000
0.250 0.750 0.500
0.650 0.125 0.250
0.100 0.625 0.250
0.375 0.350 0.750
0.875 0.900 0.750
0.000 0.000 0.000
0.750 0.250 0.500
```

Calculated values
For the theoretical density, the calculation gives 3.124 g cm⁻³. For the energy of formation, the calculation gives -0.6100 eV/atom. As for the space group: No. 122.

***

VASP calculation (PBE) on a relaxed Sc3GaP crystal.

Geometry as POSCAR:
```
Sc3GaP
1.0
-0.346 -3.696 3.118
3.908 -2.055 -2.002
2.848 2.370 3.127
Sc P Ga
3 1 1
Direct
0.000 0.500 0.000
0.000 0.000 0.500
0.500 0.000 0.000
0.000 0.000 0.000
0.500 0.500 0.500
```

Calculated values
For the theoretical density, the calculation gives 3.433 g cm⁻³. For the energy of formation, the calculation gives -0.6462 eV/atom. As for the space group: No. 221. As for the polymorph energy (0 for the lowest one): 0.0910 eV per atom.

***

VASP calculation (PBE) on a relaxed ScGa3P crystal.

Geometry as POSCAR:
```
ScGa3P
1.0
-2.954 -0.216 4.270
4.019 -1.910 2.684
1.458 4.828 1.252
Sc P Ga
1 1 3
Direct
0.000 0.000 0.000
0.500 0.500 0.500
0.000 0.500 0.000
0.000 0.000 0.500
0.500 0.000 0.000
```

Calculated values
For the theoretical density, the calculation gives 3.374 g cm⁻³. For the energy of formation, the calculation gives 0.8898 eV/atom. As for the space group: No. 221. As for the polymorph energy (0 for the lowest one): 0.6492 eV per atom.

***

VASP calculation (PBE) on a relaxed Sc2GaP2 crystal.

Geometry as POSCAR:
```
Sc2GaP2
1.0
7.100 0.000 0.000
0.000 7.100 0.000
0.000 0.000 3.523
Sc P Ga
4 4 2
Direct
0.156 0.656 0.500
0.656 0.844 0.500
0.844 0.344 0.500
0.344 0.156 0.500
0.352 0.852 0.000
0.852 0.648 0.000
0.648 0.148 0.000
0.148 0.352 0.000
0.000 0.000 0.000
0.500 0.500 0.000
```

Calculated values
For the theoretical density, the calculation gives 4.144 g cm⁻³. For the energy of formation, the calculation gives -0.9309 eV/atom. As for the space group: No. 127.

***

VASP calculation (PBE) on a relaxed ScGa3P crystal.

Geometry as POSCAR:
```
ScGa3P
1.0
-3.743 1.449 -2.532
2.511 -0.497 -3.996
-1.485 -4.492 -0.374
Sc P Ga
1 1 3
Direct
0.500 0.500 0.500
0.000 0.000 0.000
0.000 0.500 0.000
0.000 0.000 0.500
0.500 0.000 0.000
```

Calculated values
For the theoretical density, the calculation gives 4.430 g cm⁻³. For the energy of formation, the calculation gives 0.2406 eV/atom. As for the space group: No. 221. As for the polymorph energy (0 for the lowest one): 0.0000 eV per atom.

***

VASP calculation (PBE) on a relaxed Sc2Ga2P crystal.

Geometry as POSCAR:
```
Sc2Ga2P
1.0
6.807 0.000 0.000
0.000 6.807 0.000
0.000 0.000 4.354
Sc P Ga
4 2 4
Direct
0.331 0.831 0.000
0.831 0.669 0.000
0.669 0.169 0.000
0.169 0.331 0.000
0.000 0.000 0.000
0.500 0.500 0.000
0.137 0.637 0.500
0.637 0.863 0.500
0.863 0.363 0.500
0.363 0.137 0.500
```

Calculated values
For the theoretical density, the calculation gives 4.286 g cm⁻³. For the energy of formation, the calculation gives -0.6045 eV/atom. As for the space group: No. 127.

***

VASP calculation (PBE) on a relaxed Sc3GaP crystal.

Geometry as POSCAR:
```
Sc3GaP
1.0
-0.803 3.374 -0.915
-0.511 -2.200 -7.660
-7.521 -2.207 -1.539
Sc Ga P
6 2 2
Direct
0.864 0.388 0.814
0.864 0.001 0.679
0.863 0.626 0.053
0.363 0.021 0.073
0.863 0.762 0.440
0.363 0.367 0.420
0.363 0.694 0.746
0.863 0.194 0.246
0.363 0.694 0.246
0.364 0.194 0.746
```

Calculated values
For the theoretical density, the calculation gives 3.611 g cm⁻³. For the energy of formation, the calculation gives -0.7372 eV/atom. As for the space group: No. 65. As for the polymorph energy (0 for the lowest one): 0.0000 eV per atom.

***

VASP calculation (PBE) on a relaxed Sc4GaPSe2 crystal.

Geometry as POSCAR:
```
Sc4GaPSe2
1.0
3.774 0.000 0.000
0.000 6.703 0.158
0.000 -2.303 6.366
Sc Ga P Se
4 1 1 2
Direct
0.500 0.240 0.231
0.500 0.760 0.769
0.000 0.246 0.757
0.000 0.754 0.243
0.500 0.500 0.000
0.000 0.000 0.000
0.500 0.000 0.500
0.000 0.500 0.500
```

Calculated values
For the theoretical density, the calculation gives 4.483 g cm⁻³. As for the space group: No. 10. As for the formation energy without anion corrections: -1.3253 eV/atom.

***

VASP calculation (PBE) on a relaxed Sc2GaSiP crystal.

Geometry as POSCAR:
```
Sc2GaSiP
1.0
5.087 0.000 0.000
0.000 4.323 0.000
0.000 0.000 5.087
Sc P Si Ga
2 1 1 1
Direct
0.000 0.000 0.500
0.500 0.000 0.000
0.500 0.500 0.500
0.000 0.500 0.000
0.000 0.000 0.000
```

Calculated values
For the theoretical density, the calculation gives 3.245 g cm⁻³. As for the space group: No. 123. As for the formation energy without anion corrections: 0.2642 eV/atom.

***

VASP calculation (PBE) on a relaxed SrScGaP2 crystal.

Geometry as POSCAR:
```
SrScGaP2
1.0
5.066 0.000 0.000
0.000 4.858 0.000
0.000 0.000 5.066
Sc Sr Ga P
1 1 1 2
Direct
0.000 0.500 0.000
0.500 0.500 0.500
0.000 0.000 0.000
0.000 0.000 0.500
0.500 0.000 0.000
```

Calculated values
For the theoretical density, the calculation gives 3.519 g cm⁻³. For the energy of formation, the calculation gives 0.1354 eV/atom. As for the space group: No. 123.

***

VASP calculation (PBE) on a relaxed Y2ScGaP crystal.

Geometry as POSCAR:
```
Y2ScGaP
1.0
5.539 0.000 0.000
0.000 4.557 0.000
0.000 0.000 5.539
Y Sc Ga P
2 1 1 1
Direct
0.000 0.000 0.500
0.500 0.000 0.000
0.500 0.500 0.500
0.000 0.000 0.000
0.000 0.500 0.000
```

Calculated values
For the theoretical density, the calculation gives 3.841 g cm⁻³. For the energy of formation, the calculation gives 0.3208 eV/atom. As for the space group: No. 123.

***

VASP calculation (PBE) on a relaxed Ga2PSe6 crystal.

Geometry as POSCAR:
```
Ga2PSe6
1.0
-3.940 -3.225 -3.611
1.350 -9.384 1.377
-8.411 -0.943 4.490
Ga P Se
4 2 12
Direct
0.048 0.669 0.823
0.452 0.177 0.331
0.952 0.331 0.177
0.548 0.823 0.669
0.250 0.247 0.753
0.750 0.753 0.247
0.164 0.842 0.648
0.336 0.352 0.158
0.836 0.158 0.352
0.664 0.648 0.842
0.897 0.754 0.431
0.603 0.569 0.246
0.103 0.246 0.569
0.397 0.431 0.754
0.081 0.751 0.057
0.419 0.943 0.249
0.919 0.249 0.943
0.581 0.057 0.751
```

Calculated values
For the theoretical density, the calculation gives 4.217 g cm⁻³. As for the space group: No. 15. As for the formation energy without anion corrections: -0.2504 eV/atom.

***

VASP calculation (PBE) on a relaxed Ga3PSe crystal.

Geometry as POSCAR:
```
Ga3PSe
1.0
5.052 0.000 0.000
0.000 5.052 0.000
0.000 0.000 5.052
P Ga Se
1 3 1
Direct
0.500 0.500 0.500
0.000 0.500 0.000
0.000 0.000 0.500
0.500 0.000 0.000
0.000 0.000 0.000
```

Calculated values
For the theoretical density, the calculation gives 4.110 g cm⁻³. As for the space group: No. 221. As for the polymorph energy (0 for the lowest one): 0.5059 eV per atom. As for the formation energy without anion corrections: 0.6551 eV/atom.

***

Number 1: electronic total energy -5.65 eV/atom, V 23.47 A^3/atom, DOS(E_F) 0.00 states/eV/cell. Number 2: electronic total energy -6.13 eV/atom, V 22.79 A^3/atom, DOS(E_F) 2.54 states/eV/cell. Number 3: electronic total energy -3.27 eV/atom, V 28.06 A^3/atom, DOS(E_F) 3.92 states/eV/cell. Number 4: electronic total energy -6.23 eV/atom, V 17.76 A^3/atom, DOS(E_F) 4.69 states/eV/cell. Number 5: electronic total energy -3.92 eV/atom, V 21.37 A^3/atom, DOS(E_F) 3.06 states/eV/cell. Number 6: electronic total energy -5.43 eV/atom, V 20.17 A^3/atom, DOS(E_F) 6.51 states/eV/cell. Number 7: electronic total energy -6.22 eV/atom, V 21.66 A^3/atom, DOS(E_F) 9.36 states/eV/cell. Number 8: electronic total energy -6.42 eV/atom, V 20.30 A^3/atom, DOS(E_F) 2.65 states/eV/cell. Number 9: electronic total energy -5.04 eV/atom, V 22.38 A^3/atom, DOS(E_F) 2.27 states/eV/cell. Number 10: electronic total energy -4.24 eV/atom, V 24.94 A^3/atom, DOS(E_F) 4.42 states/eV/cell. Number 11: electronic total energy -5.22 eV/atom, V 27.97 A^3/atom, DOS(E_F) 7.20 states/eV/cell. Number 12: electronic total energy -3.85 eV/atom, V 28.19 A^3/atom, DOS(E_F) 19.42 states/eV/cell. Number 13: electronic total energy -2.94 eV/atom, V 25.79 A^3/atom, DOS(E_F) 3.30 states/eV/cell.